{
  "formula": "MgCd2WO6",
  "functional": "PBE with a Hubbard U",
  "state": "optimized geometry",
  "final_energy_ev_per_atom": -5.834,
  "vol_a3_per_atom": 12.0,
  "lattice_angstrom": [[5.444, 0.000, -0.022], [0.000, 5.581, 0.000], [0.016, 0.000, 7.875]],
  "species": ["Mg", "O", "Mg", "O", "O", "O", "O", "W", "O", "O", "O", "O", "O", "Cd", "O", "W", "Cd", "Cd", "Cd", "O"],
  "frac_coords": [[0.000, 0.500, 0.500], [0.792, 0.808, 0.549], [0.500, 0.000, 0.000], [0.601, 0.039, 0.261], [0.208, 0.192, 0.451], [0.314, 0.710, 0.443], [0.686, 0.290, 0.557], [0.000, 0.500, 0.000], [0.101, 0.461, 0.761], [0.292, 0.692, 0.049], [0.399, 0.961, 0.739], [0.814, 0.790, 0.943], [0.708, 0.308, 0.951], [0.510, 0.543, 0.750], [0.186, 0.210, 0.057], [0.500, 0.000, 0.500], [0.010, 0.957, 0.250], [0.990, 0.043, 0.750], [0.490, 0.457, 0.250], [0.899, 0.539, 0.239]]
}